# 1
A relaxed MgIn5Sn4 crystal, computed with PBE.

* density of states at the Fermi level: 3.7 states/eV/f.u.
* final energy: -3.107 eV/atom

a = 4.0360 Å, b = 4.0360 Å, c = 16.3858 Å
α = 90.00°, β = 90.00°, γ = 90.00°
Space group P4/mmm (No. 123)
Symmetry-distinct sites (fractional):
Mg  0.0000  0.0000  0.0000 (multiplicity 1)
In  0.5000  0.5000  0.0963 (multiplicity 2)
In  0.5000  0.5000  0.2957 (multiplicity 2)
In  0.5000  0.5000  0.5000 (multiplicity 1)
Sn  0.0000  0.0000  0.1914 (multiplicity 2)
Sn  0.0000  0.0000  0.3947 (multiplicity 2)



# 2
A relaxed Be2Fe5 crystal, computed with PBE.

* density of states at the Fermi level: 5.4 states/eV/f.u.
* final energy: -7.105 eV/atom

a = 2.6843 Å, b = 2.6843 Å, c = 19.4414 Å
α = 90.00°, β = 90.00°, γ = 90.00°
Space group I4/mmm (No. 139)
Symmetry-distinct sites (fractional):
Be  0.0000  0.0000  0.2214 (multiplicity 4)
Fe  0.0000  0.0000  0.0793 (multiplicity 4)
Fe  0.0000  0.0000  0.3466 (multiplicity 4)
Fe  0.0000  0.0000  0.5000 (multiplicity 2)



# 3
A relaxed Ho6Tm2In crystal, computed with PBE.

* density of states at the Fermi level: 12.0 states/eV/f.u.
* final energy: -4.344 eV/atom
* offset from the most stable computed form: 0.0 meV/atom

a = 12.9932 Å, b = 13.5250 Å, c = 6.2996 Å
α = 90.00°, β = 94.99°, γ = 90.00°
Space group C2/c (No. 15)
Symmetry-distinct sites (fractional):
Ho  0.1011  0.0713  0.0784 (multiplicity 8)
Ho  0.1086  0.2029  0.5971 (multiplicity 8)
Ho  0.1358  0.3267  0.0754 (multiplicity 8)
Tm  0.2000  0.4369  0.5546 (multiplicity 8)
In  0.0000  0.4858  0.7500 (multiplicity 4)



# 4
A relaxed Pr5Nd3Er3 crystal, computed with PBE.

* density of states at the Fermi level: 18.0 states/eV/f.u.
* final energy: -4.409 eV/atom
* offset from the most stable computed form: 3.5 meV/atom

a = 11.3517 Å, b = 11.3517 Å, c = 3.5191 Å
α = 90.00°, β = 90.00°, γ = 120.00°
Space group P-62m (No. 189)
Symmetry-distinct sites (fractional):
Pr  0.0000  0.8371  0.0000 (multiplicity 3)
Pr  0.3333  0.6667  0.0000 (multiplicity 2)
Nd  0.0000  0.3426  0.0000 (multiplicity 3)
Er  0.0000  0.5930  0.5000 (multiplicity 3)



# 5
A relaxed Ac2ErH8 crystal, computed with PBE.

* density of states at the Fermi level: 1.0 states/eV/f.u.
* final energy: -4.159 eV/atom

a = 4.0255 Å, b = 5.4026 Å, c = 12.0456 Å
α = 90.00°, β = 90.00°, γ = 90.00°
Space group Immm (No. 71)
Symmetry-distinct sites (fractional):
Ac  0.0000  0.0000  0.1678 (multiplicity 4)
Er  0.0000  0.0000  0.5000 (multiplicity 2)
H  0.0000  0.2404  0.3540 (multiplicity 8)
H  0.0000  0.2768  0.0000 (multiplicity 4)
H  0.0000  0.5000  0.1849 (multiplicity 4)



# 6
A relaxed CoAuSe2 crystal, computed with PBE.

* density of states at the Fermi level: 3.4 states/eV/f.u.
* final energy: -4.315 eV/atom
* formation energy from raw total energies: 0.02 eV/atom

a = 3.1688 Å, b = 23.2632 Å, c = 4.0308 Å
α = 90.00°, β = 90.00°, γ = 90.00°
Space group Cmcm (No. 63)
Symmetry-distinct sites (fractional):
Co  0.0000  0.1858  0.2500 (multiplicity 4)
Au  0.0000  0.4602  0.2500 (multiplicity 4)
Se  0.0000  0.2889  0.2500 (multiplicity 4)
Se  0.0000  0.3900  0.7500 (multiplicity 4)



Respective spin magnetization values: 0.000; 5.599; 0.005; 0.000; 0.000; 0.000 μB per formula unit.